Record 1
The following is a DFT calculation (PBE) of an optimized crystal structure of Y2Ir.

Calculated values
- DOS(E_F) (states/eV/f.u.) = 2.81

Cell and atoms, written as CIF:
```
data_Y2Ir
_space_group_name_H-M_alt 'P b c a'
_space_group_IT_number 61
_cell_length_a 6.749
_cell_length_b 13.232
_cell_length_c 7.102
_cell_angle_alpha 90.00
_cell_angle_beta 90.00
_cell_angle_gamma 90.00
loop_
_space_group_symop_operation_xyz
'x,y,z'
'-x,-y,-z'
'-x+1/2,-y,z+1/2'
'x+1/2,y,-z+1/2'
'x+1/2,-y+1/2,-z'
'-x+1/2,y+1/2,z'
'-x,y+1/2,-z+1/2'
'x,-y+1/2,z+1/2'
loop_
_atom_site_label
_atom_site_type_symbol
_atom_site_fract_x
_atom_site_fract_y
_atom_site_fract_z
Y1 Y 0.001 0.031 0.239
Y2 Y 0.168 0.704 0.882
Ir1 Ir 0.223 0.109 0.543
```



Record 2
The following is a DFT calculation (PBE) of an optimized crystal structure of Y3Ir4.

Calculated values
- DOS(E_F) (states/eV/f.u.) = 4.49
- relative energy among the computed polymorphs (meV per atom) = 799

Cell and atoms, written as CIF:
```
data_Y3Ir4
_space_group_name_H-M_alt 'P 6/m m m'
_space_group_IT_number 191
_space_group_name_Hall '-P 6 2'
_cell_length_a 6.1318
_cell_length_b 6.1318
_cell_length_c 4.6470
_cell_angle_alpha 90.00
_cell_angle_beta 90.00
_cell_angle_gamma 120.00
loop_
_atom_site_label
_atom_site_type_symbol
_atom_site_fract_x
_atom_site_fract_y
_atom_site_fract_z
Y1 Y 0.0000 0.5000 0.0000
Ir1 Ir 0.0000 0.0000 0.2519
Ir2 Ir 0.3333 0.6667 0.5000
```



Computed ΔE_f, in the same sequence as the records: -201.1; 167.1 kJ/mol of formula units.